No. 1
First-principles (GGA-PBE) data for a relaxed Hf2ZrSc2 crystal, as listed in Alexandria via LeMat-Bulk.

The structure belongs to space group P4/mbm (No. 127); the cell edges are 8.3588, 8.3588 and 3.3391 Å and the angles 90.00°, 90.00° and 90.00°. Symmetry generates all atoms from Hf at (0.1259, 0.3741, 0.0000), Zr at (0.0000, 0.0000, 0.0000) and Sc at (0.1706, 0.6706, 0.5000).

For the distance to the lowest polymorph of the same formula, the calculation gives 170 meV/atom. The crystal system is tetragonal.

***

No. 2
First-principles (GGA-PBE) data for a relaxed Hf4ZrSc5 crystal, as listed in Alexandria via LeMat-Bulk.

The structure belongs to space group P-1 (No. 2); the cell edges are 6.0981, 6.2465 and 12.9071 Å and the angles 82.31°, 81.71° and 74.51°. Symmetry generates all atoms from Hf at (0.0495, 0.2240, 0.0101), Hf at (0.3959, 0.5533, 0.4004), Hf at (0.4072, 0.0558, 0.3999), Hf at (0.4399, 0.7588, 0.0220), Zr at (0.1338, 0.3237, 0.5905), Sc at (0.1274, 0.8168, 0.5920), Sc at (0.1853, 0.9068, 0.2261), Sc at (0.2266, 0.4121, 0.1969), Sc at (0.2909, 0.4925, 0.8037) and Sc at (0.3166, 0.9880, 0.8142).

The crystal system is triclinic.

***

No. 3
First-principles (GGA-PBE) data for a relaxed Hf2Zr2Sc3 crystal, as listed in Alexandria via LeMat-Bulk.

The structure belongs to space group I2_13 (No. 199); the cell edges are 8.7181, 8.7181 and 8.7181 Å and the angles 90.00°, 90.00° and 90.00°. Symmetry generates all atoms from Hf at (0.1551, 0.3449, 0.6551), Zr at (0.0491, 0.0491, 0.0491) and Sc at (0.0000, 0.2500, 0.3285).

For the distance to the lowest polymorph of the same formula, the calculation gives 172 meV/atom. The crystal system is cubic.

***

No. 4
First-principles (GGA-PBE) data for a relaxed Hf3Zr8Sc2 crystal, as listed in Alexandria via LeMat-Bulk.

The structure belongs to space group P2/m (No. 10); the cell edges are 5.5327, 5.1494 and 10.8389 Å and the angles 90.00°, 98.11° and 90.00°. Symmetry generates all atoms from Hf at (0.0000, 0.0000, 0.0000), Hf at (0.2705, 0.5000, 0.0794), Zr at (0.1407, 0.0000, 0.2674), Zr at (0.2035, 0.5000, 0.7616), Zr at (0.3147, 0.5000, 0.3917), Zr at (0.4218, 0.0000, 0.8636) and Sc at (0.2896, 0.0000, 0.5741).

For the distance to the lowest polymorph of the same formula, the calculation gives 0 meV/atom. The crystal system is monoclinic.

***

No. 5
First-principles (GGA-PBE) data for a relaxed HfZrSc3 crystal, as listed in Alexandria via LeMat-Bulk.

The structure belongs to space group C2/m (No. 12); the cell edges are 7.8144, 8.6845 and 8.0918 Å and the angles 90.00°, 118.85° and 90.00°. Symmetry generates all atoms from Hf at (0.0000, 0.1650, 0.0000), Zr at (0.2185, 0.5000, 0.1239), Sc at (0.0468, 0.3247, 0.7124) and Sc at (0.1579, 0.0000, 0.4054).

For the distance to the lowest polymorph of the same formula, the calculation gives 83 meV/atom. The crystal system is monoclinic.

***

No. 6
First-principles (GGA-PBE) data for a relaxed HfZr2Sc crystal, as listed in Alexandria via LeMat-Bulk.

The structure belongs to space group Fm-3m (No. 225); the cell edges are 7.1427, 7.1427 and 7.1427 Å and the angles 90.00°, 90.00° and 90.00°. Symmetry generates all atoms from Hf at (0.0000, 0.0000, 0.0000), Zr at (0.2500, 0.2500, 0.2500) and Sc at (0.0000, 0.0000, 0.5000).

For the distance to the lowest polymorph of the same formula, the calculation gives 150 meV/atom. The crystal system is cubic.

***

No. 7
First-principles (GGA-PBE) data for a relaxed Hf3Zr12Sc crystal, as listed in Alexandria via LeMat-Bulk.

The structure belongs to space group Pmmm (No. 47); the cell edges are 5.6062, 5.6111 and 11.6448 Å and the angles 90.00°, 90.00° and 90.00°. Symmetry generates all atoms from Hf at (0.0000, 0.0000, 0.0000), Hf at (0.5000, 0.5000, 0.2526), Zr at (0.0000, 0.2468, 0.2459), Zr at (0.2536, 0.5000, 0.0000), Zr at (0.2551, 0.5000, 0.5000), Zr at (0.5000, 0.0000, 0.1244), Zr at (0.5000, 0.0000, 0.3741) and Sc at (0.0000, 0.0000, 0.5000).

The crystal system is orthorhombic.

***

No. 8
First-principles (GGA-PBE) data for a relaxed HfZr4Sc8 crystal, as listed in Alexandria via LeMat-Bulk.

The structure belongs to space group P-1 (No. 2); the cell edges are 6.4133, 6.7693 and 7.5435 Å and the angles 90.04°, 100.14° and 90.03°. Symmetry generates all atoms from Hf at (0.0000, 0.0000, 0.0000), Zr at (0.0000, 0.0000, 0.5000), Zr at (0.0000, 0.5000, 0.5000), Zr at (0.5000, 0.0000, 0.5000), Zr at (0.5000, 0.5000, 0.5000), Sc at (0.1929, 0.2814, 0.2222), Sc at (0.1929, 0.7184, 0.2219), Sc at (0.3135, 0.2545, 0.8032) and Sc at (0.3138, 0.7467, 0.8032).

The crystal system is triclinic.

***

No. 9
First-principles (GGA-PBE) data for a relaxed Hf2Zr2Sc5 crystal, as listed in Alexandria via LeMat-Bulk.

The structure belongs to space group Cc (No. 9); the cell edges are 15.4184, 5.5067 and 11.1875 Å and the angles 90.00°, 116.91° and 90.00°. Symmetry generates all atoms from Hf at (0.0000, 0.0495, 0.0000), Hf at (0.2225, 0.0921, 0.1762), Zr at (0.0650, 0.4410, 0.1937), Zr at (0.2807, 0.4254, 0.8443), Sc at (0.1211, 0.0686, 0.8424), Sc at (0.1653, 0.4187, 0.5178), Sc at (0.3364, 0.0887, 0.5142), Sc at (0.3945, 0.4221, 0.1766) and Sc at (0.4378, 0.0629, 0.8479).

The crystal system is monoclinic.

***

No. 10
First-principles (GGA-PBE) data for a relaxed HfZr6Sc2 crystal, as listed in Alexandria via LeMat-Bulk.

The structure belongs to space group P-6m2 (No. 187); the cell edges are 3.2160, 3.2160 and 23.5781 Å and the angles 90.00°, 90.00° and 120.00°. Symmetry generates all atoms from Hf at (0.0000, 0.0000, 0.0000), Zr at (0.0000, 0.0000, 0.2180), Zr at (0.0000, 0.0000, 0.4369), Zr at (0.3333, 0.6667, 0.1084) and Sc at (0.3333, 0.6667, 0.3299).

For the distance to the lowest polymorph of the same formula, the calculation gives 14 meV/atom. The crystal system is hexagonal.

***

No. 11
First-principles (GGA-PBE) data for a relaxed Hf4Zr3Sc3 crystal, as listed in Alexandria via LeMat-Bulk.

The structure belongs to space group Amm2 (No. 38); the cell edges are 3.6021, 11.4059 and 11.5189 Å and the angles 90.00°, 90.00° and 90.00°. Symmetry generates all atoms from Hf at (0.0000, 0.0000, 0.0000), Hf at (0.0000, 0.0000, 0.2592), Hf at (0.0000, 0.1307, 0.6261), Zr at (0.5000, 0.0000, 0.4640), Zr at (0.5000, 0.1641, 0.1285), Sc at (0.0000, 0.2491, 0.3779) and Sc at (0.5000, 0.0000, 0.7936).

The crystal system is orthorhombic.

***

No. 12
First-principles (GGA-PBE) data for a relaxed Hf2ZrSc2 crystal, as listed in Alexandria via LeMat-Bulk.

The structure belongs to space group I4/mmm (No. 139); the cell edges are 4.0763, 4.0763 and 14.5219 Å and the angles 90.00°, 90.00° and 90.00°. Symmetry generates all atoms from Hf at (0.0000, 0.5000, 0.2500), Zr at (0.0000, 0.0000, 0.0000) and Sc at (0.0000, 0.0000, 0.4055).

For the distance to the lowest polymorph of the same formula, the calculation gives 412 meV/atom. The crystal system is tetragonal.

***

No. 13
First-principles (GGA-PBE) data for a relaxed HfZr2Sc3 crystal, as listed in Alexandria via LeMat-Bulk.

The structure belongs to space group P2_1/m (No. 11); the cell edges are 7.6290, 3.2894 and 11.3798 Å and the angles 90.00°, 90.32° and 90.00°. Symmetry generates all atoms from Hf at (0.1974, 0.2500, 0.2484), Zr at (0.0735, 0.2500, 0.8946), Zr at (0.3511, 0.7500, 0.4454), Sc at (0.0782, 0.2500, 0.6080), Sc at (0.3449, 0.7500, 0.0486) and Sc at (0.3976, 0.7500, 0.7494).

For the distance to the lowest polymorph of the same formula, the calculation gives 18 meV/atom. The crystal system is monoclinic.

***

No. 14
First-principles (GGA-PBE) data for a relaxed Hf2Zr2Sc crystal, as listed in Alexandria via LeMat-Bulk.

The structure belongs to space group P4/mbm (No. 127); the cell edges are 7.8482, 7.8482 and 3.8067 Å and the angles 90.00°, 90.00° and 90.00°. Symmetry generates all atoms from Hf at (0.1518, 0.3482, 0.0000), Zr at (0.1416, 0.6416, 0.5000) and Sc at (0.0000, 0.0000, 0.5000).

For the distance to the lowest polymorph of the same formula, the calculation gives 28 meV/atom. The crystal system is tetragonal.

***

No. 15
First-principles (GGA-PBE) data for a relaxed Hf5Zr2Sc crystal, as listed in Alexandria via LeMat-Bulk.

The structure belongs to space group Fmm2 (No. 42); the cell edges are 6.4285, 10.1631 and 11.1469 Å and the angles 90.00°, 90.00° and 90.00°. Symmetry generates all atoms from Hf at (0.0000, 0.0000, 0.0000), Hf at (0.2495, 0.0000, 0.7490), Hf at (0.2500, 0.2500, 0.0836), Zr at (0.0000, 0.2502, 0.3319) and Sc at (0.0000, 0.0000, 0.5001).

The crystal system is orthorhombic.

***

No. 16
First-principles (GGA-PBE) data for a relaxed Hf2ZrSc8 crystal, as listed in Alexandria via LeMat-Bulk.

The structure belongs to space group C2/m (No. 12); the cell edges are 8.2288, 14.7307 and 5.3414 Å and the angles 90.00°, 125.85° and 90.00°. Symmetry generates all atoms from Hf at (0.0000, 0.1907, 0.0000), Zr at (0.0000, 0.5000, 0.5000), Sc at (0.0000, 0.2950, 0.5000), Sc at (0.0730, 0.0000, 0.2921) and Sc at (0.2219, 0.3773, 0.1850).

For the distance to the lowest polymorph of the same formula, the calculation gives 170 meV/atom. The crystal system is monoclinic.

***

No. 17
First-principles (GGA-PBE) data for a relaxed Hf2ZrSc6 crystal, as listed in Alexandria via LeMat-Bulk.

The structure belongs to space group P-6m2 (No. 187); the cell edges are 3.2538, 3.2538 and 23.5298 Å and the angles 90.00°, 90.00° and 120.00°. Symmetry generates all atoms from Hf at (0.0000, 0.0000, 0.1700), Zr at (0.3333, 0.6667, 0.5000), Sc at (0.0000, 0.0000, 0.3913), Sc at (0.3333, 0.6667, 0.0648) and Sc at (0.3333, 0.6667, 0.2771).

For the distance to the lowest polymorph of the same formula, the calculation gives 0 meV/atom. The crystal system is hexagonal.

***

No. 18
First-principles (GGA-PBE) data for a relaxed Hf3ZrSc2 crystal, as listed in Alexandria via LeMat-Bulk.

The structure belongs to space group C2/c (No. 15); the cell edges are 15.6967, 6.4772 and 5.5885 Å and the angles 90.00°, 103.78° and 90.00°. Symmetry generates all atoms from Hf at (0.0000, 0.1280, 0.2500), Hf at (0.1650, 0.3755, 0.5221), Zr at (0.0000, 0.3744, 0.7500) and Sc at (0.1668, 0.1241, 0.0284).

For the distance to the lowest polymorph of the same formula, the calculation gives 0 meV/atom. The crystal system is monoclinic.

***

No. 19
First-principles (GGA-PBE) data for a relaxed Hf4ZrSc8 crystal, as listed in Alexandria via LeMat-Bulk.

The structure belongs to space group C2/m (No. 12); the cell edges are 9.2459, 9.2532 and 7.5295 Å and the angles 90.00°, 99.67° and 90.00°. Symmetry generates all atoms from Hf at (0.0000, 0.0000, 0.0000), Hf at (0.0000, 0.5000, 0.0000), Hf at (0.2500, 0.2500, 0.0000), Zr at (0.0000, 0.0000, 0.5000), Sc at (0.0505, 0.2558, 0.2939), Sc at (0.2016, 0.5000, 0.6955) and Sc at (0.2361, 0.0000, 0.7368).

The crystal system is monoclinic.

***

No. 20
First-principles (GGA-PBE) data for a relaxed Hf2ZrSc8 crystal, as listed in Alexandria via LeMat-Bulk.

The structure belongs to space group P-1 (No. 2); the cell edges are 4.5442, 7.1903 and 8.5736 Å and the angles 104.44°, 105.30° and 90.03°. Symmetry generates all atoms from Hf at (0.0440, 0.2265, 0.0879), Zr at (0.5000, 0.5000, 0.0000), Sc at (0.1308, 0.6738, 0.2618), Sc at (0.2245, 0.1377, 0.4493), Sc at (0.3239, 0.5964, 0.6472) and Sc at (0.4133, 0.0471, 0.8265).

For the distance to the lowest polymorph of the same formula, the calculation gives 0 meV/atom. The crystal system is triclinic.

***

Number 1: V 23.33 A^3/atom, total energy -8.012 eV per atom. Number 2: V 23.32 A^3/atom, total energy -7.932 eV per atom. Number 3: V 23.67 A^3/atom, total energy -7.701 eV per atom. Number 4: V 23.52 A^3/atom, total energy -8.391 eV per atom. Number 5: V 24.05 A^3/atom, total energy -7.389 eV per atom. Number 6: V 22.78 A^3/atom, total energy -8.214 eV per atom. Number 7: V 22.89 A^3/atom, total energy -8.510 eV per atom. Number 8: V 24.80 A^3/atom, total energy -7.030 eV per atom. Number 9: V 23.53 A^3/atom, total energy -7.566 eV per atom. Number 10: V 23.46 A^3/atom, total energy -8.181 eV per atom. Number 11: V 23.66 A^3/atom, total energy -8.311 eV per atom. Number 12: V 24.13 A^3/atom, total energy -7.770 eV per atom. Number 13: V 23.80 A^3/atom, total energy -7.627 eV per atom. Number 14: V 23.45 A^3/atom, total energy -8.515 eV per atom. Number 15: V 22.76 A^3/atom, total energy -9.156 eV per atom. Number 16: V 23.86 A^3/atom, total energy -6.979 eV per atom. Number 17: V 23.97 A^3/atom, total energy -7.353 eV per atom. Number 18: V 22.99 A^3/atom, total energy -8.483 eV per atom. Number 19: V 24.42 A^3/atom, total energy -7.332 eV per atom. Number 20: V 23.73 A^3/atom, total energy -7.149 eV per atom.